Entry 1:
Below is an optimized crystal structure of PrEuP, with properties calculated at the PBE level.

Crystal system: trigonal

Lattice parameters (Å, degrees): 4.1246 4.1246 6.9060 90.00 90.00 120.00
With the nearest neighbours (Å) after each atom.
Space group P3m1 (No. 156)
Symmetry-distinct sites (fractional):
Pr  0.0000  0.0000  0.0000  3 P 2.85
Eu  0.3333  0.6667  0.4774  3 P 2.94
P  0.6667  0.3333  0.2271  3 Pr 2.85, 3 Eu 2.94

---

Entry 2:
Below is an optimized crystal structure of Eu2PPt, with properties calculated at the PBE level.

Crystal system: tetragonal

Lattice parameters (Å, degrees): 5.0765 5.0765 3.5882 90.00 90.00 90.00
With the nearest neighbours (Å) after each atom.
Space group P4/mmm (No. 123)
Symmetry-distinct sites (fractional):
Eu  0.0000  0.5000  0.0000  4 Pt 3.11, 4 P 3.11
P  0.0000  0.0000  0.5000  8 Eu 3.11
Pt  0.5000  0.5000  0.5000  8 Eu 3.11

---

Entry 3:
Below is an optimized crystal structure of EuPPt, with properties calculated at the PBE level.

Crystal system: hexagonal

Lattice parameters (Å, degrees): 4.1315 4.1315 4.2663 90.00 90.00 120.00
With the nearest neighbours (Å) after each atom.
Space group P-6m2 (No. 187)
Symmetry-distinct sites (fractional):
Eu  0.0000  0.0000  0.0000  6 Pt 3.20, 6 P 3.20
P  0.6667  0.3333  0.5000  3 Pt 2.39
Pt  0.3333  0.6667  0.5000  3 P 2.39

---

Entry 4:
Below is an optimized crystal structure of EuPPt, with properties calculated at the PBE level.

Crystal system: hexagonal

Lattice parameters (Å, degrees): 4.1247 4.1247 8.5408 90.00 90.00 120.00
With the nearest neighbours (Å) after each atom.
Space group P6_3/mmc (No. 194)
Symmetry-distinct sites (fractional):
Eu  0.0000  0.0000  0.0000  6 Pt 3.20, 6 P 3.20
P  0.3333  0.6667  0.2500  3 Pt 2.38
Pt  0.3333  0.6667  0.7500  3 P 2.38

---

Entry 5:
Below is an optimized crystal structure of EuPuP, with properties calculated at the PBE level.

Crystal system: tetragonal

Lattice parameters (Å, degrees): 3.6310 3.6310 11.9023 90.00 90.00 90.00
With the nearest neighbours (Å) after each atom.
Space group I4mm (No. 107)
Symmetry-distinct sites (fractional):
Eu  0.0000  0.0000  0.0000  1 Pu 3.09, 4 P 3.11
Pu  0.0000  0.0000  0.2599  4 P 2.89, 1 Eu 3.09
P  0.0000  0.0000  0.6477  4 Pu 2.89, 4 Eu 3.11

---

Entry 6:
Below is an optimized crystal structure of EuPuP, with properties calculated at the PBE level.

Crystal system: cubic

Lattice parameters (Å, degrees): 6.8968 6.8968 6.8968 90.00 90.00 90.00
With the nearest neighbours (Å) after each atom.
Space group F-43m (No. 216)
Symmetry-distinct sites (fractional):
Eu  0.0000  0.0000  0.0000  4 P 2.99
Pu  0.0000  0.0000  0.5000  4 P 2.99
P  0.2500  0.2500  0.7500  4 Pu 2.99, 4 Eu 2.99

---

Entry 7:
Below is an optimized crystal structure of EuPuP, with properties calculated at the PBE level.

Crystal system: trigonal

Lattice parameters (Å, degrees): 3.9036 3.9036 6.9741 90.00 90.00 120.00
With the nearest neighbours (Å) after each atom.
Space group P3m1 (No. 156)
Symmetry-distinct sites (fractional):
Eu  0.0000  0.0000  0.0000  3 P 2.92
Pu  0.3333  0.6667  0.5082  3 P 2.75
P  0.6667  0.3333  0.7343  3 Pu 2.75, 3 Eu 2.92

---

Entry 8:
Below is an optimized crystal structure of RbEuP, with properties calculated at the PBE level.

Crystal system: trigonal

Lattice parameters (Å, degrees): 4.7196 4.7196 6.9091 90.00 90.00 120.00
With the nearest neighbours (Å) after each atom.
Space group P3m1 (No. 156)
Symmetry-distinct sites (fractional):
Rb  0.0000  0.0000  0.0000  3 P 3.46
Eu  0.3333  0.6667  0.5625  3 P 2.87
P  0.6667  0.3333  0.6907  3 Eu 2.87

---

Calculated energy of formation from the pure elements (eV/atom), listed in the same order as above: -0.874 -0.908 -1.180 -1.182 -0.618 -0.632 -0.578 -0.512
Calculated N(E_F) (states/eV/cell), listed in the same order as above: 10.5 17.6 2.7 17.9 13.5 34.0 20.4 13.5